The following is a DFT calculation (PBE) of an optimized crystal structure of CdSiTe2.

Calculated values
- Magnetization: 0.0 μB per cell
- Space-group type: R-3m
- Raw formation energy: -0.029 eV/atom
- Energy above the lowest structure with this stoichiometry: 0.05 eV per formula unit

Structure (CIF):
```
data_CdSiTe2
_chemical_formula_sum 'Cd1 Si1 Te2'
_space_group_name_H-M_alt 'P 1'
_space_group_IT_number 1
_cell_length_a 7.273
_cell_length_b 7.273
_cell_length_c 7.273
_cell_angle_alpha 33.84
_cell_angle_beta 33.84
_cell_angle_gamma 33.84
loop_
_space_group_symop_operation_xyz
'x,y,z'
loop_
_atom_site_label
_atom_site_type_symbol
_atom_site_fract_x
_atom_site_fract_y
_atom_site_fract_z
Cd1 Cd 0.000 0.000 0.000
Si1 Si 0.500 0.500 0.500
Te1 Te 0.244 0.244 0.244
Te2 Te 0.756 0.756 0.756
```